A relaxed Tl2PbN crystal. Source: Alexandria via LeMat-Bulk, functional GGA-PBE.

Results
Distance to the lowest polymorph of the same formula   0 meV/atom
ΔE_f (raw)   2.7 eV/f.u.
Density of states at the Fermi level   9.0 states/eV per cell

a = 7.1639 Å, b = 7.1639 Å, c = 8.1785 Å
α = 90.00°, β = 90.00°, γ = 90.00°
Last column: nearest neighbours and their distance in Å.
Space group I-42d (No. 122)
Asymmetric unit:
Tl (0.1531, 0.2500, 0.1250) [8 per cell]  2 N 2.34
Pb (0.0000, 0.0000, 0.5000) [4 per cell]  4 Tl 3.23
N (0.0000, 0.0000, 0.0000) [4 per cell]  4 Tl 2.34

=====

A relaxed TaBi2Mo2 crystal. Source: Alexandria via LeMat-Bulk, functional GGA-PBE.

Results
Distance to the lowest polymorph of the same formula   13 meV/atom
E_form   0.96 eV per atom
Density of states at the Fermi level   12.2 states/eV per cell

a = 3.6371 Å, b = 3.6371 Å, c = 16.8140 Å
α = 90.00°, β = 90.00°, γ = 90.00°
Last column: nearest neighbours and their distance in Å.
Space group I4/mmm (No. 139)
Asymmetric unit:
Ta (0.0000, 0.0000, 0.0000) [2 per cell]  8 Bi 3.10
Bi (0.0000, 0.0000, 0.3969) [4 per cell]  4 Mo 3.07, 4 Ta 3.10
Mo (0.0000, 0.5000, 0.2500) [4 per cell]  4 Mo 2.57

=====

A relaxed MgF crystal. Source: Alexandria via LeMat-Bulk, functional GGA-PBE.

Results
Distance to the lowest polymorph of the same formula   353 meV/atom
ΔE_f (raw)   -4.2 eV/f.u.
Density of states at the Fermi level   2.6 states/eV per cell

a = 6.0222 Å, b = 6.0222 Å, c = 3.5720 Å
α = 90.00°, β = 90.00°, γ = 90.00°
Last column: nearest neighbours and their distance in Å.
Space group P4_2/mnm (No. 136)
Asymmetric unit:
Mg (0.2042, 0.2042, 0.0000) [4 per cell]  4 F 2.17
F (0.1519, 0.8481, 0.0000) [4 per cell]  4 Mg 2.17

=====

A relaxed LiTiAs2Br crystal. Source: Alexandria via LeMat-Bulk, functional GGA-PBE.

Results
Distance to the lowest polymorph of the same formula   675 meV/atom
ΔE_f (raw)   1.6 eV/f.u.
Density of states at the Fermi level   5.7 states/eV per cell

a = 4.4768 Å, b = 4.4768 Å, c = 5.1006 Å
α = 90.00°, β = 90.00°, γ = 90.00°
Last column: nearest neighbours and their distance in Å.
Space group P4/mmm (No. 123)
Asymmetric unit:
Li (0.0000, 0.0000, 0.0000) [1 per cell]  4 As 2.24
Ti (0.5000, 0.5000, 0.5000) [1 per cell]  4 Br 3.17, 8 As 3.39
As (0.0000, 0.5000, 0.0000) [2 per cell]  2 Li 2.24
Br (0.0000, 0.0000, 0.5000) [1 per cell]  2 Li 2.55

=====

A relaxed NdOsC crystal. Source: Alexandria via LeMat-Bulk, functional GGA-PBE.

Results
Distance to the lowest polymorph of the same formula   0 meV/atom
E_form   0.02 eV per atom
Density of states at the Fermi level   3.2 states/eV per cell

a = 5.9812 Å, b = 3.4321 Å, c = 5.3650 Å
α = 90.00°, β = 90.00°, γ = 90.00°
Last column: nearest neighbours and their distance in Å.
Space group Pmma (No. 51)
Asymmetric unit:
Nd (0.2500, 0.0000, 0.2143) [2 per cell]  4 C 2.74
Os (0.2500, 0.5000, 0.7156) [2 per cell]  2 C 1.89
C (0.0000, 0.5000, 0.5000) [2 per cell]  2 Os 1.89

=====

A relaxed ZnReAs2 crystal. Source: Alexandria via LeMat-Bulk, functional GGA-PBE.

Results
E_form   0.22 eV per atom
Density of states at the Fermi level   4.7 states/eV per cell

a = 3.1370 Å, b = 3.3397 Å, c = 13.4863 Å
α = 90.00°, β = 90.00°, γ = 90.00°
Last column: nearest neighbours and their distance in Å.
Space group Imm2 (No. 44)
Asymmetric unit:
Zn (0.0000, 0.0000, 0.0000) [2 per cell]  6 As 2.71-2.72
Re (0.0000, 0.5000, 0.2548) [2 per cell]  6 As 2.51-2.57
As (0.0000, 0.0000, 0.6092) [2 per cell]  2 Re 2.51, 4 Zn 2.72
As (0.0000, 0.5000, 0.8418) [2 per cell]  4 Re 2.57, 2 Zn 2.71

=====

Question: Which value of density of states at the Fermi level does entry 4 give?
Answer: 5.7 states/eV per cell